(1)
Entry from Alexandria: an optimized crystal structure of MgNiP2 (PBE-GGA).

- space-group type = P2/m (10)
- total moment (μB per cell) = 0.00
- crystal system = monoclinic
- energy of formation from the pure elements (meV per atom) = -334
- theoretical density (g/cm³) = 3.632

Cell: 3.709 4.279 4.176 Å, 90.57 90.00 90.00°
Sites, in units of the cell vectors:
Mg 0.500 0.250 0.250
Ni 0.500 0.750 0.750
P 0.000 0.015 0.867
P 0.000 0.485 0.633



(2)
Entry from Alexandria: an optimized crystal structure of MgNi2P2 (PBE-GGA).

- space-group type = C2/c (15)
- total moment (μB per cell) = 0.00
- crystal system = monoclinic
- energy of formation from the pure elements (meV per atom) = -412
- theoretical density (g/cm³) = 4.458

Cell: 5.994 5.994 6.256 Å, 118.76 118.76 97.82°
Sites, in units of the cell vectors:
Mg 0.885 0.615 0.750
Mg 0.115 0.385 0.250
Ni 0.247 0.963 0.443
Ni 0.463 0.747 0.943
Ni 0.753 0.037 0.557
Ni 0.537 0.253 0.057
P 0.192 0.308 0.750
P 0.412 0.088 0.250
P 0.588 0.912 0.750
P 0.808 0.692 0.250



(3)
Entry from Alexandria: an optimized crystal structure of MgNi2P (PBE-GGA).

- space-group type = Immm (71)
- total moment (μB per cell) = 0.00
- crystal system = orthorhombic
- energy of formation from the pure elements (meV per atom) = -289
- theoretical density (g/cm³) = 5.607

Cell: 4.372 4.372 4.372 Å, 132.04 121.71 78.74°
Sites, in units of the cell vectors:
Mg 0.250 0.750 0.500
Ni 0.953 0.953 0.000
Ni 0.547 0.547 0.000
P 0.750 0.250 0.500



(4)
Entry from Alexandria: an optimized crystal structure of MgNi2P (PBE-GGA).

- space-group type = P2/m (10)
- total moment (μB per cell) = 0.00
- crystal system = monoclinic
- energy of formation from the pure elements (meV per atom) = -270
- theoretical density (g/cm³) = 5.193

Cell: 3.669 3.030 4.966 Å, 89.56 90.00 90.00°
Sites, in units of the cell vectors:
Mg 0.500 0.750 0.750
Ni 0.000 0.248 0.002
Ni 0.000 0.252 0.498
P 0.500 0.250 0.250



(5)
Entry from Alexandria: an optimized crystal structure of Mg2Ni2P (PBE-GGA).

- space-group type = P4/mbm (127)
- total moment (μB per cell) = 0.00
- crystal system = tetragonal
- energy of formation from the pure elements (meV per atom) = -361
- theoretical density (g/cm³) = 4.531

Cell: 5.914 5.914 4.127 Å, 90.00 90.00 90.00°
Sites, in units of the cell vectors:
Ni 0.347 0.847 0.000
Ni 0.847 0.653 0.000
Ni 0.653 0.153 0.000
Ni 0.153 0.347 0.000
Mg 0.166 0.666 0.500
Mg 0.666 0.834 0.500
Mg 0.834 0.334 0.500
Mg 0.334 0.166 0.500
P 0.000 0.000 0.000
P 0.500 0.500 0.000



(6)
Entry from Alexandria: an optimized crystal structure of Mg2NiP (PBE-GGA).

- space-group type = I-42d (122)
- total moment (μB per cell) = 0.00
- crystal system = tetragonal
- energy of formation from the pure elements (meV per atom) = 169
- theoretical density (g/cm³) = 3.362

Cell: 3.949 3.949 9.196 Å, 77.60 77.60 90.00°
Sites, in units of the cell vectors:
Ni 0.000 0.000 0.000
Ni 0.750 0.250 0.500
Mg 0.629 0.125 0.250
Mg 0.121 0.625 0.250
Mg 0.375 0.371 0.750
Mg 0.875 0.879 0.750
P 0.500 0.500 0.000
P 0.250 0.750 0.500



(7)
Entry from Alexandria: an optimized crystal structure of MgNi4P3 (PBE-GGA).

- space-group type = P4/mmm (123)
- total moment (μB per cell) = 0.00
- crystal system = tetragonal
- energy of formation from the pure elements (meV per atom) = -542
- theoretical density (g/cm³) = 5.667

Cell: 3.830 3.830 7.032 Å, 90.00 90.00 90.00°
Sites, in units of the cell vectors:
Ni 0.500 0.000 0.185
Ni 0.000 0.500 0.185
Ni 0.500 0.000 0.815
Ni 0.000 0.500 0.815
Mg 0.000 0.000 0.500
P 0.000 0.000 0.000
P 0.500 0.500 0.344
P 0.500 0.500 0.656



(8)
Entry from Alexandria: an optimized crystal structure of Mg2NiP (PBE-GGA).

- space-group type = P4/mmm (123)
- total moment (μB per cell) = 0.00
- crystal system = tetragonal
- energy of formation from the pure elements (meV per atom) = -182
- theoretical density (g/cm³) = 3.735

Cell: 3.299 3.299 5.651 Å, 90.00 90.00 90.00°
Sites, in units of the cell vectors:
Mg 0.000 0.000 0.004
Mg 0.000 0.000 0.496
Ni 0.500 0.500 0.250
P 0.500 0.500 0.750



(9)
Entry from Alexandria: an optimized crystal structure of MgNiP2 (PBE-GGA).

- space-group type = Imm2 (44)
- total moment (μB per cell) = 0.00
- crystal system = orthorhombic
- energy of formation from the pure elements (meV per atom) = -188
- theoretical density (g/cm³) = 3.986

Cell: 5.759 5.759 5.759 Å, 144.52 146.84 49.35°
Sites, in units of the cell vectors:
Mg 0.454 0.454 0.000
Ni 0.216 0.716 0.500
P 0.078 0.078 0.000
P 0.752 0.252 0.500



(10)
Entry from Alexandria: an optimized crystal structure of MgNi3P (PBE-GGA).

- space-group type = Pm-3m (221)
- total moment (μB per cell) = 0.00
- crystal system = cubic
- energy of formation from the pure elements (meV per atom) = -219
- theoretical density (g/cm³) = 5.288

Cell: 4.173 4.173 4.173 Å, 90.00 90.00 90.00°
Sites, in units of the cell vectors:
Ni 0.000 0.500 0.000
Ni 0.000 0.000 0.500
Ni 0.500 0.000 0.000
Mg 0.500 0.500 0.500
P 0.000 0.000 0.000



(11)
Entry from Alexandria: an optimized crystal structure of MgNi5P2 (PBE-GGA).

- space-group type = Immm (71)
- total moment (μB per cell) = 0.00
- crystal system = orthorhombic
- energy of formation from the pure elements (meV per atom) = -490
- theoretical density (g/cm³) = 6.335

Cell: 3.442 5.783 5.783 Å, 67.84 72.68 72.68°
Sites, in units of the cell vectors:
Mg 0.000 0.000 0.000
Ni 0.000 0.500 0.500
Ni 0.648 0.549 0.154
Ni 0.352 0.451 0.846
Ni 0.352 0.846 0.451
Ni 0.648 0.154 0.549
P 0.754 0.746 0.746
P 0.246 0.254 0.254



(12)
Entry from Alexandria: an optimized crystal structure of Mg4Ni5P6 (PBE-GGA).

- space-group type = Cmc2_1 (36)
- total moment (μB per cell) = 0.00
- crystal system = orthorhombic
- energy of formation from the pure elements (meV per atom) = -489
- theoretical density (g/cm³) = 4.375

Cell: 3.778 8.613 13.787 Å, 90.00 90.00 102.67°
Sites, in units of the cell vectors:
Mg 0.969 0.938 0.266
Mg 0.031 0.062 0.766
Mg 0.170 0.339 0.306
Mg 0.830 0.661 0.806
Mg 0.818 0.635 0.443
Mg 0.182 0.365 0.943
Mg 0.004 0.007 0.508
Mg 0.996 0.993 0.008
Ni 0.439 0.878 0.683
Ni 0.561 0.122 0.183
Ni 0.142 0.285 0.627
Ni 0.858 0.715 0.127
Ni 0.638 0.276 0.480
Ni 0.362 0.724 0.980
Ni 0.300 0.599 0.620
Ni 0.700 0.401 0.120
Ni 0.345 0.690 0.273
Ni 0.655 0.310 0.773
P 0.775 0.551 0.251
P 0.428 0.856 0.399
P 0.785 0.570 0.995
P 0.215 0.430 0.495
P 0.442 0.884 0.851
P 0.558 0.116 0.351
P 0.430 0.861 0.132
P 0.570 0.139 0.632
P 0.121 0.242 0.121
P 0.879 0.758 0.621
P 0.572 0.144 0.899
P 0.225 0.449 0.751



(13)
Entry from Alexandria: an optimized crystal structure of Mg2NiP (PBE-GGA).

- space-group type = C2/m (12)
- total moment (μB per cell) = 0.00
- crystal system = monoclinic
- energy of formation from the pure elements (meV per atom) = -10
- theoretical density (g/cm³) = 3.474

Cell: 4.124 4.124 5.995 Å, 80.85 80.85 41.15°
Sites, in units of the cell vectors:
Mg 0.000 0.000 0.989
Mg 0.500 0.500 0.511
Ni 0.750 0.750 0.750
P 0.250 0.250 0.250



| no. | D(E_F) (states/eV per atom) |
| --- | --- |
| 1 | 0.268 |
| 2 | 0.599 |
| 3 | 0.550 |
| 4 | 0.723 |
| 5 | 0.408 |
| 6 | 0.590 |
| 7 | 0.674 |
| 8 | 0.617 |
| 9 | 0.447 |
| 10 | 0.669 |
| 11 | 0.620 |
| 12 | 0.540 |
| 13 | 0.419 |